(1)
Mn2SiAu | Alexandria | SCAN | PBEsol geometry; symmetry = No. 123; Fermi-level density of states = 3.70 states/eV/cell; formation energy (no corrections) = 1.8 kJ/mol of atoms; energy = -28.90 eV per atom
1.0
-1.2222 -1.3610 -2.1720
-2.2352 -2.2935 2.6948
-3.0458 2.8695 -0.0842
Au Mn Si
1 2 1
Cartesian
-0.6111 -0.6805 -1.0860
-1.5229 1.4348 -0.0421
-1.1176 -1.1467 1.3474
-3.2516 -0.3925 0.2193

(2)
MnSiAu2 | Alexandria | SCAN | PBEsol geometry; symmetry = No. 10; Fermi-level density of states = 1.64 states/eV/cell; formation energy (no corrections) = -12.7 kJ/mol of atoms; energy = -41.78 eV per atom
1.0
2.9567 0.0000 -0.0083
0.0000 4.1518 0.0000
-1.3781 0.0000 5.1062
Au Mn Si
2 1 1
Cartesian
1.5253 0.0000 3.7760
0.0534 0.0000 1.3219
1.4784 2.0759 -0.0041
0.7893 2.0759 2.5489

(3)
MnSiAu2 | Alexandria | SCAN | PBEsol geometry; symmetry = No. 160; Fermi-level density of states = 2.24 states/eV/cell; formation energy (no corrections) = -4.2 kJ/mol of atoms; energy = -41.69 eV per atom
1.0
-0.8284 -1.1586 -2.4816
1.6714 -1.9154 -1.3132
-3.5768 -7.2741 2.9404
Mn Au Si
1 2 1
Cartesian
-1.2877 -5.0458 -0.5135
-1.9795 -7.6463 -0.7180
0.7615 -3.2060 -3.7060
-0.7520 -2.6981 -0.1389